Cs2Pa2AgTe6: relaxed, GGA-PBE.

Values from the calculation:
* space-group type: C2/m
* E_form (uncorrected): -9.05 eV/f.u.
* energy: -4.677 eV per atom

Lattice parameters (Å, degrees): 7.6363 7.6363 9.4805 97.47 97.47 119.21
Last column: magnetic moment on the atom in μB.
Element x y z (fractional)
Te 0.0626 0.4012 0.6869  -0.02
Te 0.4012 0.0626 0.6869  -0.02
Te 0.7071 0.7071 0.6922  -0.03
Te 0.2929 0.2929 0.3078  -0.03
Te 0.5988 0.9374 0.3131  -0.02
Te 0.9374 0.5988 0.3131  -0.02
Cs 0.1638 0.8362 0.0000  0.00
Cs 0.8362 0.1638 0.0000  0.00
Pa 0.6674 0.3326 0.5000  0.59
Pa 0.3326 0.6674 0.5000  0.59
Ag 0.0000 0.0000 0.5000  -0.01